A plane-wave DFT calculation with GGA-PBE was carried out for Sn3O2F2 after structural relaxation.

Summary:
Energy above the most stable polymorph in this dataset ... 117 meV per atom

Lattice parameters (Å, degrees): 6.127 7.716 6.009 90.00 108.76 90.00
Space group P2_1/c (No. 14)
Inequivalent atoms, fractional coordinates:
Sn 0.000 0.000 0.000 [2 per cell]
Sn 0.344 0.016 0.667 [4 per cell]
O 0.335 0.089 0.327 [4 per cell]
F 0.144 0.710 0.008 [4 per cell]